CsBaLaHf2, optimized geometry, DFT PBE-GGA; uncorrected energy = -4.356 eV/atom; magnetic moment = 0.00 μB per atom; E_form = 1166.5 meV/atom; SG = P4/mmm, No. 123
1.0
5.584 0.000 0.000
0.000 5.584 0.000
0.000 0.000 6.455
Cs Ba La Hf
1 1 1 2
direct
0.000 0.000 0.000 Cs
0.500 0.500 0.000 Ba
0.000 0.000 0.500 La
0.000 0.500 0.500 Hf
0.500 0.000 0.500 Hf

---

La2CoPd, optimized geometry, DFT PBE-GGA; uncorrected energy = -5.835 eV/atom; magnetic moment = 0.00 μB per atom; E_form = -296.9 meV/atom; SG = R3m, No. 160
1.0
2.026 1.170 7.155
-2.026 1.170 7.155
0.000 -2.339 7.155
La Co Pd
2 1 1
direct
0.000 0.000 0.000 La
0.185 0.185 0.185 La
0.591 0.591 0.591 Co
0.428 0.428 0.428 Pd

---

TbZr3Ga2, optimized geometry, DFT PBE-GGA; uncorrected energy = -6.399 eV/atom; magnetic moment = 0.00 μB per atom; E_form = -343.9 meV/atom; SG = C2/m, No. 12
1.0
8.279 -2.092 0.000
8.279 2.092 0.000
-3.342 0.000 7.793
Tb Zr Ga
2 6 4
direct
0.118 0.118 0.143 Tb
0.882 0.882 0.857 Tb
0.056 0.056 0.680 Zr
0.310 0.310 0.118 Zr
0.361 0.361 0.513 Zr
0.639 0.639 0.487 Zr
0.690 0.690 0.882 Zr
0.944 0.944 0.320 Zr
0.240 0.240 0.703 Ga
0.491 0.491 0.147 Ga
0.509 0.509 0.853 Ga
0.760 0.760 0.297 Ga

---

TlRe2Os, optimized geometry, DFT PBE-GGA; uncorrected energy = -9.007 eV/atom; magnetic moment = 0.00 μB per atom; E_form = 615.8 meV/atom; SG = R-3m, No. 166
1.0
1.431 0.826 9.358
-1.431 0.826 9.358
0.000 -1.653 9.358
Tl Re Os
1 2 1
direct
0.000 0.000 0.000 Tl
0.242 0.242 0.242 Re
0.758 0.758 0.758 Re
0.500 0.500 0.500 Os

---

Hf6MgZr12, optimized geometry, DFT PBE-GGA; uncorrected energy = -8.435 eV/atom; magnetic moment = 0.00 μB per atom; E_form = 191.4 meV/atom; SG = P-1, No. 2
1.0
7.777 0.000 0.000
-1.254 7.676 0.000
-1.282 -1.533 7.517
Hf Mg Zr
6 1 12
direct
0.098 0.098 0.161 Hf
0.098 0.661 0.598 Hf
0.339 0.902 0.402 Hf
0.661 0.098 0.598 Hf
0.902 0.339 0.402 Hf
0.902 0.902 0.839 Hf
0.000 0.000 0.500 Mg
0.068 0.337 0.838 Zr
0.245 0.500 0.256 Zr
0.246 0.754 0.000 Zr
0.337 0.069 0.838 Zr
0.337 0.338 0.570 Zr
0.500 0.244 0.256 Zr
0.500 0.756 0.744 Zr
0.663 0.662 0.430 Zr
0.663 0.931 0.162 Zr
0.754 0.246 0.000 Zr
0.755 0.500 0.744 Zr
0.932 0.663 0.162 Zr

---

Sr2BiAu2, optimized geometry, DFT PBE-GGA; uncorrected energy = -3.510 eV/atom; magnetic moment = 0.00 μB per atom; E_form = -750.5 meV/atom; SG = P4/mbm, No. 127
1.0
8.609 0.000 0.000
0.000 8.609 0.000
0.000 0.000 3.939
Sr Bi Au
4 2 4
direct
0.177 0.323 0.000 Sr
0.323 0.823 0.000 Sr
0.677 0.177 0.000 Sr
0.823 0.677 0.000 Sr
0.000 0.000 0.500 Bi
0.500 0.500 0.500 Bi
0.117 0.617 0.500 Au
0.383 0.117 0.500 Au
0.617 0.883 0.500 Au
0.883 0.383 0.500 Au

---

SrH2Br, optimized geometry, DFT PBE-GGA; uncorrected energy = -2.929 eV/atom; magnetic moment = 0.00 μB per atom; SG = I4_1/amd, No. 141
1.0
-2.162 2.162 9.084
2.162 -2.162 9.084
2.162 2.162 -9.084
Sr H Br
2 4 2
direct
0.375 0.625 0.750 Sr
0.625 0.375 0.250 Sr
0.000 0.500 0.500 H
0.500 0.000 0.000 H
0.500 0.500 0.000 H
0.500 0.500 0.500 H
0.125 0.875 0.250 Br
0.875 0.125 0.750 Br

---

LiNi2P, optimized geometry, DFT PBE-GGA; uncorrected energy = -4.830 eV/atom; magnetic moment = 0.00 μB per atom; E_form = -108.2 meV/atom; SG = R-3m, No. 166
1.0
1.368 0.790 7.603
-1.368 0.790 7.603
0.000 -1.579 7.603
Li Ni P
1 2 1
direct
0.000 0.000 0.000 Li
0.238 0.238 0.238 Ni
0.762 0.762 0.762 Ni
0.500 0.500 0.500 P

---

MgZnW, optimized geometry, DFT PBE-GGA; uncorrected energy = -4.953 eV/atom; magnetic moment = 0.00 μB per atom; E_form = 321.2 meV/atom; SG = P3m1, No. 156
1.0
2.864 0.000 0.000
-1.432 2.481 0.000
0.000 0.000 7.055
Mg Zn W
1 1 1
direct
0.000 0.000 0.000 Mg
0.333 0.667 0.660 Zn
0.667 0.333 0.341 W

---

Dy4Ru3Rh, optimized geometry, DFT PBE-GGA; uncorrected energy = -7.172 eV/atom; magnetic moment = 0.00 μB per atom; E_form = -473.5 meV/atom; SG = Pmmm, No. 47
1.0
3.412 0.000 0.000
0.000 4.817 0.000
0.000 0.000 9.608
Dy Ru Rh
4 3 1
direct
0.000 0.000 0.000 Dy
0.000 0.000 0.500 Dy
0.000 0.500 0.247 Dy
0.000 0.500 0.753 Dy
0.500 0.000 0.252 Ru
0.500 0.000 0.748 Ru
0.500 0.500 0.000 Ru
0.500 0.500 0.500 Rh

---

CePaI, optimized geometry, DFT PBE-GGA; uncorrected energy = -6.072 eV/atom; magnetic moment = 0.00 μB per atom; SG = I4/mmm, No. 139
1.0
-1.936 1.936 12.834
1.936 -1.936 12.834
1.936 1.936 -12.834
Ce Pa I
2 2 2
direct
0.159 0.159 0.000 Ce
0.841 0.841 0.000 Ce
0.284 0.284 0.000 Pa
0.716 0.716 0.000 Pa
0.416 0.416 0.000 I
0.584 0.584 0.000 I

---

MgIn2F4, optimized geometry, DFT PBE-GGA; uncorrected energy = -4.503 eV/atom; magnetic moment = 0.00 μB per atom; SG = I4/mmm, No. 139
1.0
-2.007 2.007 7.401
2.007 -2.007 7.401
2.007 2.007 -7.401
Mg In F
1 2 4
direct
0.000 0.000 0.000 Mg
0.350 0.350 0.000 In
0.650 0.650 0.000 In
0.000 0.500 0.500 F
0.136 0.136 0.000 F
0.500 0.000 0.500 F
0.864 0.864 0.000 F